(1)
Entry from Alexandria via LeMat-Bulk: an optimized crystal structure of Pm9Nd4Tl11 (PBE).

Cell and atoms, written as CIF:
```
data_Pm9Nd4Tl11
_symmetry_space_group_name_H-M 'C m m m'
_symmetry_Int_Tables_number 65
_symmetry_space_group_name_Hall '-C 2 2'
_cell_length_a 16.578
_cell_length_b 23.509
_cell_length_c 3.661
_cell_angle_alpha 90.00
_cell_angle_beta 90.00
_cell_angle_gamma 90.00
loop_
_atom_site_label
_atom_site_type_symbol
_atom_site_fract_x
_atom_site_fract_y
_atom_site_fract_z
Pm1 Pm 0.000 0.000 0.000
Pm2 Pm 0.110 0.406 0.000
Pm3 Pm 0.114 0.227 0.000
Nd1 Nd 0.168 0.082 0.000
Tl1 Tl 0.000 0.123 0.500
Tl2 Tl 0.000 0.313 0.500
Tl3 Tl 0.000 0.500 0.500
Tl4 Tl 0.211 0.500 0.500
Tl5 Tl 0.229 0.319 0.500
```

Calculated values
E_form	-729.4	kJ/mol of formula units



(2)
Entry from Alexandria via LeMat-Bulk: an optimized crystal structure of Pu2AgMo (PBE).

Cell and atoms, written as CIF:
```
data_Pu2AgMo
_symmetry_space_group_name_H-M 'P 4/m m m'
_symmetry_Int_Tables_number 123
_symmetry_space_group_name_Hall '-P 4 2'
_cell_length_a 3.161
_cell_length_b 3.161
_cell_length_c 8.645
_cell_angle_alpha 90.00
_cell_angle_beta 90.00
_cell_angle_gamma 90.00
loop_
_atom_site_label
_atom_site_type_symbol
_atom_site_fract_x
_atom_site_fract_y
_atom_site_fract_z
Pu1 Pu 0.000 0.000 0.223
Ag1 Ag 0.500 0.500 0.500
Mo1 Mo 0.500 0.500 0.000
```

Calculated values
E_form	77.7	kJ/mol of formula units



(3)
Entry from Alexandria via LeMat-Bulk: an optimized crystal structure of BeIn2Cl (PBE).

Cell and atoms, written as CIF:
```
data_BeIn2Cl
_symmetry_space_group_name_H-M 'A m m 2'
_symmetry_Int_Tables_number 38
_symmetry_space_group_name_Hall 'A 2 -2'
_cell_length_a 5.143
_cell_length_b 3.150
_cell_length_c 10.825
_cell_angle_alpha 90.00
_cell_angle_beta 90.00
_cell_angle_gamma 90.00
loop_
_atom_site_label
_atom_site_type_symbol
_atom_site_fract_x
_atom_site_fract_y
_atom_site_fract_z
Be1 Be 0.000 0.000 0.000
In1 In 0.000 0.000 0.258
In2 In 0.500 0.000 0.506
Cl1 Cl 0.500 0.000 0.757
```

Calculated values
uncorrected formation energy	88	meV/atom



(4)
Entry from Alexandria via LeMat-Bulk: an optimized crystal structure of Pm2Cl5 (PBE).

Cell and atoms, written as CIF:
```
data_Pm2Cl5
_symmetry_space_group_name_H-M 'C 1 2/c 1'
_symmetry_Int_Tables_number 15
_symmetry_space_group_name_Hall '-C 2yc'
_cell_length_a 14.823
_cell_length_b 6.268
_cell_length_c 7.660
_cell_angle_alpha 90.00
_cell_angle_beta 98.01
_cell_angle_gamma 90.00
loop_
_atom_site_label
_atom_site_type_symbol
_atom_site_fract_x
_atom_site_fract_y
_atom_site_fract_z
Pm1 Pm 0.103 0.211 0.086
Cl1 Cl 0.000 0.094 0.750
Cl2 Cl 0.084 0.374 0.423
Cl3 Cl 0.219 0.073 0.836
```

Calculated values
uncorrected formation energy	-2075	meV/atom



(5)
Entry from Alexandria via LeMat-Bulk: an optimized crystal structure of CsZn3Ni (PBE).

Cell and atoms, written as CIF:
```
data_CsZn3Ni
_symmetry_space_group_name_H-M 'P m -3 m'
_symmetry_Int_Tables_number 221
_symmetry_space_group_name_Hall '-P 4 2 3'
_cell_length_a 4.925
_cell_length_b 4.925
_cell_length_c 4.925
_cell_angle_alpha 90.00
_cell_angle_beta 90.00
_cell_angle_gamma 90.00
loop_
_atom_site_label
_atom_site_type_symbol
_atom_site_fract_x
_atom_site_fract_y
_atom_site_fract_z
Cs1 Cs 0.000 0.000 0.000
Zn1 Zn 0.000 0.500 0.500
Ni1 Ni 0.500 0.500 0.500
```

Calculated values
E_form	42.1	kJ/mol of formula units



(6)
Entry from Alexandria via LeMat-Bulk: an optimized crystal structure of CuTc2Sb2 (PBE).

Cell and atoms, written as CIF:
```
data_CuTc2Sb2
_symmetry_space_group_name_H-M 'P 4/m b m'
_symmetry_Int_Tables_number 127
_symmetry_space_group_name_Hall '-P 4 2ab'
_cell_length_a 7.343
_cell_length_b 7.343
_cell_length_c 3.306
_cell_angle_alpha 90.00
_cell_angle_beta 90.00
_cell_angle_gamma 90.00
loop_
_atom_site_label
_atom_site_type_symbol
_atom_site_fract_x
_atom_site_fract_y
_atom_site_fract_z
Cu1 Cu 0.000 0.000 0.000
Tc1 Tc 0.142 0.358 0.000
Sb1 Sb 0.157 0.657 0.500
```

Calculated values
uncorrected formation energy	218	meV/atom



| no. | uncorrected energy (Ry per atom) |
| --- | --- |
| 1 | -0.2922 |
| 2 | -0.7633 |
| 3 | -0.1966 |
| 4 | -0.3492 |
| 5 | -0.1473 |
| 6 | -0.4702 |